Entry 1:
Density functional theory data (PBE) for a relaxed In2Ni crystal.

As for the energy of formation: 0.16 eV per atom. Its volume is 63 Å³/cell. The theoretical density is 7659 kg/m³.

Cell lengths 4.3332, 4.3332, 3.8445 Å; angles 90.00, 90.00, 120.00 degrees
Space group P-3m1 (No. 164)
Symmetry-distinct sites (fractional):
In1 0.3333 0.6667 0.2535 (multiplicity 2)
Ni1 0.0000 0.0000 0.0000 (multiplicity 1)

Entry 2:
Density functional theory data (PBE) for a relaxed In7Ni3 crystal.

As for the energy of formation: -0.12 eV per atom. Its volume is 805 Å³/cell. The theoretical density is 8080 kg/m³.

Cell lengths 9.304, 9.304, 9.304 Å; angles 90.00, 90.00, 90.00 degrees
Space group Im-3m (No. 229)
Symmetry-distinct sites (fractional):
In1 0.000 0.250 0.500 (multiplicity 12)
In2 0.160 0.160 0.160 (multiplicity 16)
Ni1 0.000 0.000 0.356 (multiplicity 12)

Entry 3:
Density functional theory data (PBE) for a relaxed InNi2 crystal.

As for the energy of formation: 0.17 eV per atom. Its volume is 185 Å³/cell. The theoretical density is 8328 kg/m³.

Cell lengths 3.519, 3.519, 14.953 Å; angles 90.00, 90.00, 90.00 degrees
Space group I4_1/amd (No. 141, origin choice 2)
Symmetry-distinct sites (fractional):
In1 0.000 0.250 0.375 (multiplicity 4)
Ni1 0.000 0.250 0.798 (multiplicity 8)

Q: Among the records above, which one has the lowest theoretical density?
A: In2Ni